[1]
CsCu3O: optimized geometry, GGA-PBE.

Lattice parameters (Å, degrees): 4.4913 4.4913 4.4913 90.00 90.00 90.00
Last column: nearest neighbours and their distance in Å.
Atoms (fractional coordinates):
Cs 0.0000 0.0000 0.0000  12 Cu 3.18
Cu 0.0000 0.5000 0.5000  2 O 2.25
Cu 0.5000 0.0000 0.5000  2 O 2.25
Cu 0.5000 0.5000 0.0000  2 O 2.25
O 0.5000 0.5000 0.5000  6 Cu 2.25

Computed properties:
Energy relative to the elements, uncorrected = 0.434 eV per atom
SG = Pm-3m, No. 221

[2]
CaCoP2: optimized geometry, GGA-PBE.

Lattice parameters (Å, degrees): 3.8031 3.8031 8.8469 90.00 90.00 90.00
Last column: nearest neighbours and their distance in Å.
Atoms (fractional coordinates):
Ca 0.0000 0.0000 0.0000  8 P 2.69-2.92, 4 Co 2.92
Ca 0.5000 0.5000 0.5000  8 P 2.69-2.92, 4 Co 2.92
Co 0.0000 0.5000 0.7500  8 P 2.69-2.92, 4 Ca 2.92
Co 0.5000 0.0000 0.2500  8 P 2.69-2.92, 4 Ca 2.92
P 0.0000 0.0000 0.5000  4 Ca 2.69, 4 Co 2.92, 4 P 2.92
P 0.0000 0.5000 0.2500  4 Co 2.69, 4 Ca 2.92, 4 P 2.92
P 0.5000 0.0000 0.7500  4 Co 2.69, 4 Ca 2.92, 4 P 2.92
P 0.5000 0.5000 0.0000  4 Ca 2.69, 4 Co 2.92, 4 P 2.92

Computed properties:
E_form = 0.0397 eV per atom
SG = I-4m2, No. 119
E above lowest polymorph = 742 meV per atom

[3]
LiDy2USe4: optimized geometry, GGA-PBE.

Lattice parameters (Å, degrees): 7.0333 4.0289 7.0625 90.00 109.15 90.00
Last column: nearest neighbours and their distance in Å.
Atoms (fractional coordinates):
Li 0.0000 0.0000 0.0000  6 Se 2.82-2.83
Dy 0.5000 0.0000 0.5000  6 Se 2.91-2.93
Dy 0.5000 0.5000 0.0000  6 Se 2.85-2.86
U 0.0000 0.5000 0.5000  6 Se 2.89
Se 0.2448 0.5000 0.2423  2 Li 2.83, 3 Dy 2.86-2.91, 1 U 2.89
Se 0.2481 0.0000 0.7575  1 Li 2.82, 3 Dy 2.85-2.93, 2 U 2.89
Se 0.7519 0.0000 0.2425  1 Li 2.82, 3 Dy 2.85-2.93, 2 U 2.89
Se 0.7552 0.5000 0.7577  2 Li 2.83, 3 Dy 2.86-2.91, 1 U 2.89

Computed properties:
Energy relative to the elements, uncorrected = -1.509 eV per atom
SG = P2/m, No. 10

[4]
Sc3GeTe2: optimized geometry, GGA-PBE.

Lattice parameters (Å, degrees): 7.0761 7.0761 7.0421 99.80 99.80 119.38
Last column: nearest neighbours and their distance in Å.
Atoms (fractional coordinates):
Sc 0.0000 0.5000 0.0000  2 Ge 2.82, 4 Te 2.90-2.91
Sc 0.1397 0.2841 0.4924  2 Ge 2.73-2.74, 3 Te 2.91-3.04
Sc 0.2841 0.1397 0.9924  2 Ge 2.73-2.74, 3 Te 2.91-3.04
Sc 0.5000 0.0000 0.5000  2 Ge 2.82, 4 Te 2.90-2.91
Sc 0.7159 0.8603 0.0076  2 Ge 2.73-2.74, 3 Te 2.91-3.04
Sc 0.8603 0.7159 0.5076  2 Ge 2.73-2.74, 3 Te 2.91-3.04
Ge 0.0909 0.9091 0.2500  6 Sc 2.73-2.82
Ge 0.9091 0.0909 0.7500  6 Sc 2.73-2.82
Te 0.2597 0.7403 0.7500  6 Sc 2.90-3.04
Te 0.4196 0.5804 0.2500  6 Sc 2.91-3.09
Te 0.5804 0.4196 0.7500  6 Sc 2.91-3.09
Te 0.7403 0.2597 0.2500  6 Sc 2.90-3.04

Computed properties:
Energy relative to the elements, uncorrected = -1.085 eV per atom
SG = C2/c, No. 15
E above lowest polymorph = 14 meV per atom

[5]
Ta5InS8: optimized geometry, GGA-PBE.

Lattice parameters (Å, degrees): 9.0279 9.0279 9.3747 105.27 105.27 20.98
Last column: nearest neighbours and their distance in Å.
Atoms (fractional coordinates):
Ta 0.0000 0.0000 0.0000  6 S 2.48-2.57
Ta 0.0382 0.0382 0.3725  6 S 2.45-2.58
Ta 0.3266 0.3266 0.0033  6 S 2.47-2.50
Ta 0.6151 0.6151 0.6338  6 S 2.45-2.58
Ta 0.6533 0.6533 0.0063  6 S 2.48-2.57
In 0.8269 0.8269 0.5048  8 S 3.12-3.48, 2 In 3.29
S 0.0771 0.0771 0.8153  5 Ta 2.48-2.58
S 0.1775 0.1775 0.5058  3 Ta 2.45-2.47
S 0.2406 0.2406 0.1745  3 Ta 2.49-2.51
S 0.4127 0.4127 0.8320  3 Ta 2.50-2.51
S 0.4758 0.4758 0.5004  3 Ta 2.45-2.47
S 0.5763 0.5763 0.1910  5 Ta 2.48-2.58
S 0.7441 0.7441 0.8342  4 Ta 2.47-2.57
S 0.9092 0.9092 0.1720  4 Ta 2.47-2.57

Computed properties:
Energy relative to the elements, uncorrected = -0.922 eV per atom
SG = Cm, No. 8

[6]
Y2CoPb2: optimized geometry, GGA-PBE.

Lattice parameters (Å, degrees): 7.1951 7.1951 5.1773 90.00 90.00 90.00
Last column: nearest neighbours and their distance in Å.
Atoms (fractional coordinates):
Y 0.1679 0.3321 0.0000  2 Co 2.68
Y 0.3321 0.8321 0.0000  2 Co 2.68
Y 0.6679 0.1679 0.0000  2 Co 2.68
Y 0.8321 0.6679 0.0000  2 Co 2.68
Co 0.0000 0.0000 0.0000  4 Y 2.68
Co 0.5000 0.5000 0.0000  4 Y 2.68
Pb 0.1580 0.6580 0.5000  6 Y 3.14-3.49, 1 Pb 3.22
Pb 0.3420 0.1580 0.5000  6 Y 3.14-3.49, 1 Pb 3.22
Pb 0.6580 0.8420 0.5000  6 Y 3.14-3.49, 1 Pb 3.22
Pb 0.8420 0.3420 0.5000  6 Y 3.14-3.49, 1 Pb 3.22

Computed properties:
E_form = 0.0266 eV per atom
SG = P4/mbm, No. 127
E above lowest polymorph = 204 meV per atom

[7]
NdSc4Se6: optimized geometry, GGA-PBE.

Lattice parameters (Å, degrees): 6.6695 6.6695 20.0077 90.00 90.00 145.98
Last column: nearest neighbours and their distance in Å.
Atoms (fractional coordinates):
Nd 0.1535 0.8465 0.7500  6 Se 2.94-3.00
Nd 0.8465 0.1535 0.2500  6 Se 2.94-3.00
Sc 0.0932 0.9068 0.1233  6 Se 2.73-2.74
Sc 0.0932 0.9068 0.3767  6 Se 2.73-2.74
Sc 0.3576 0.6424 0.0370  6 Se 2.72-2.77
Sc 0.3576 0.6424 0.4630  6 Se 2.72-2.77
Sc 0.6424 0.3576 0.5370  6 Se 2.72-2.77
Sc 0.6424 0.3576 0.9630  6 Se 2.72-2.77
Sc 0.9068 0.0932 0.6233  6 Se 2.73-2.74
Sc 0.9068 0.0932 0.8767  6 Se 2.73-2.74
Se 0.0000 0.0000 0.0000  6 Sc 2.74-2.77
Se 0.0000 0.0000 0.5000  6 Sc 2.74-2.77
Se 0.1743 0.8257 0.2500  2 Sc 2.74, 2 Nd 2.94
Se 0.2672 0.7328 0.5889  5 Sc 2.72-2.77
Se 0.2672 0.7328 0.9111  5 Sc 2.72-2.77
Se 0.4546 0.5454 0.1595  3 Sc 2.73-2.75, 2 Nd 3.00
Se 0.4546 0.5454 0.3405  3 Sc 2.73-2.75, 2 Nd 3.00
Se 0.5454 0.4546 0.6595  3 Sc 2.73-2.75, 2 Nd 3.00
Se 0.5454 0.4546 0.8405  3 Sc 2.73-2.75, 2 Nd 3.00
Se 0.7328 0.2672 0.0889  5 Sc 2.72-2.77
Se 0.7328 0.2672 0.4111  5 Sc 2.72-2.77
Se 0.8257 0.1743 0.7500  2 Sc 2.74, 2 Nd 2.94

Computed properties:
Energy relative to the elements, uncorrected = -1.717 eV per atom
SG = Cmcm, No. 63

no.,E (eV/atom)
1,-3.19
2,-4.94
3,-6.05
4,-6.07
5,-7.71
6,-5.46
7,-6.35